No. 1
The following is a DFT calculation (PBE-GGA) of a geometry-optimized NaTl3Ni2Cl9 structure.

Results
Its theoretical density is 4.76 g cm⁻³.

abc: 6.9720 6.9720 8.8904
angles: 90.00 90.00 120.00
Space group P-3m1 (No. 164)
Asymmetric unit:
Na1 0.0000 0.0000 0.0000
Tl1 0.0000 0.0000 0.5000
Tl2 0.3333 0.6667 0.1884
Ni1 0.3333 0.6667 0.6628
Cl1 0.0000 0.5000 0.5000
Cl2 0.1762 0.3524 0.8055


No. 2
The following is a DFT calculation (PBE-GGA) of a geometry-optimized NaTlNiCl4 structure.

Results
Its theoretical density is 3.64 g cm⁻³.

abc: 6.958 6.973 8.509
angles: 90.00 108.84 90.00
Space group P2_1/m (No. 11)
Asymmetric unit:
Na1 0.215 0.250 0.050
Tl1 0.273 0.250 0.576
Ni1 0.229 0.750 0.800
Cl1 0.007 0.509 0.775
Cl2 0.436 0.750 0.063
Cl3 0.445 0.750 0.651


Number 1: total energy -0.2412 Ry/atom, total moment 3.0 μB per formula unit. Number 2: total energy -0.2497 Ry/atom, total moment 2.0 μB per formula unit.